Record 1
# ScPbOF2

Crystalline ScPbOF2 at its relaxed geometry (PBE, Alexandria via LeMat-Bulk).

## Properties
As for the energy relative to the elements, uncorrected: -1.2956 eV per atom.

```
data_ScPbOF2
_chemical_formula_sum 'Sc1 Pb1 O1 F2'
_cell_length_a 4.6254
_cell_length_b 4.6254
_cell_length_c 4.5645
_cell_angle_alpha 90.00
_cell_angle_beta 90.00
_cell_angle_gamma 90.00
_symmetry_space_group_name_H-M 'P 4/m m m'
_symmetry_Int_Tables_number 123
_symmetry_space_group_name_Hall '-P 4 2'
loop_
_atom_site_label
_atom_site_type_symbol
_atom_site_fract_x
_atom_site_fract_y
_atom_site_fract_z
_atom_site_occupancy
Sc1 Sc 0.0000 0.0000 0.0000 1
Pb1 Pb 0.5000 0.5000 0.5000 1
O1 O 0.5000 0.5000 0.0000 1
F1 F 0.0000 0.5000 0.5000 1
```

Record 2
# LiYBe

Crystalline LiYBe at its relaxed geometry (PBE, Alexandria via LeMat-Bulk).

## Properties
For the formation energy, the calculation gives 1.254 eV per formula unit. The energy relative to the lowest polymorph listed for this composition comes out at 172 meV per atom.

```
data_LiYBe
_chemical_formula_sum 'Li4 Y4 Be4'
_cell_length_a 6.4123
_cell_length_b 6.4123
_cell_length_c 6.4123
_cell_angle_alpha 90.00
_cell_angle_beta 90.00
_cell_angle_gamma 90.00
_symmetry_space_group_name_H-M 'F -4 3 m'
_symmetry_Int_Tables_number 216
_symmetry_space_group_name_Hall 'F -4 2 3'
loop_
_atom_site_label
_atom_site_type_symbol
_atom_site_fract_x
_atom_site_fract_y
_atom_site_fract_z
_atom_site_occupancy
Li1 Li 0.0000 0.0000 0.0000 1
Y1 Y 0.0000 0.0000 0.5000 1
Be1 Be 0.2500 0.2500 0.2500 1
```

Record 3
# CaGaCl3

Crystalline CaGaCl3 at its relaxed geometry (PBE, Alexandria via LeMat-Bulk).

## Properties
As for the energy relative to the elements, uncorrected: -1.6533 eV per atom.

```
data_CaGaCl3
_chemical_formula_sum 'Ca4 Ga4 Cl12'
_cell_length_a 17.5945
_cell_length_b 4.0519
_cell_length_c 9.7827
_cell_angle_alpha 90.00
_cell_angle_beta 106.21
_cell_angle_gamma 90.00
_symmetry_space_group_name_H-M 'C 1 2/m 1'
_symmetry_Int_Tables_number 12
_symmetry_space_group_name_Hall '-C 2y'
loop_
_atom_site_label
_atom_site_type_symbol
_atom_site_fract_x
_atom_site_fract_y
_atom_site_fract_z
_atom_site_occupancy
Ca1 Ca 0.1514 0.0000 0.3472 1
Ga1 Ga 0.1354 0.5000 0.8951 1
Cl1 Cl 0.0526 0.5000 0.2224 1
Cl2 Cl 0.1817 0.5000 0.5573 1
Cl3 Cl 0.1930 0.0000 0.0916 1
```

Record 4
# Mg2Tc2Sb

Crystalline Mg2Tc2Sb at its relaxed geometry (PBE, Alexandria via LeMat-Bulk).

## Properties
As for the energy relative to the elements, uncorrected: 0.0698 eV per atom.

```
data_Mg2Tc2Sb
_chemical_formula_sum 'Mg4 Tc4 Sb2'
_cell_length_a 6.6376
_cell_length_b 6.6376
_cell_length_c 4.4192
_cell_angle_alpha 90.00
_cell_angle_beta 90.00
_cell_angle_gamma 90.00
_symmetry_space_group_name_H-M 'P 4/m b m'
_symmetry_Int_Tables_number 127
_symmetry_space_group_name_Hall '-P 4 2ab'
loop_
_atom_site_label
_atom_site_type_symbol
_atom_site_fract_x
_atom_site_fract_y
_atom_site_fract_z
_atom_site_occupancy
Mg1 Mg 0.1631 0.3369 0.0000 1
Tc1 Tc 0.1255 0.6255 0.5000 1
Sb1 Sb 0.0000 0.0000 0.5000 1
```

Record 5
# CdAg2P2O6

Crystalline CdAg2P2O6 at its relaxed geometry (PBE, Alexandria via LeMat-Bulk).

## Properties
As for the energy relative to the elements, uncorrected: -1.2936 eV per atom.

```
data_CdAg2P2O6
_chemical_formula_sum 'Cd1 Ag2 P2 O6'
_cell_length_a 5.1894
_cell_length_b 5.1894
_cell_length_c 7.2251
_cell_angle_alpha 90.00
_cell_angle_beta 90.00
_cell_angle_gamma 120.00
_symmetry_space_group_name_H-M 'P -3'
_symmetry_Int_Tables_number 147
_symmetry_space_group_name_Hall '-P 3'
loop_
_atom_site_label
_atom_site_type_symbol
_atom_site_fract_x
_atom_site_fract_y
_atom_site_fract_z
_atom_site_occupancy
Cd1 Cd 0.0000 0.0000 0.0000 1
Ag1 Ag 0.3333 0.6667 0.4211 1
P1 P 0.3333 0.6667 0.7568 1
O1 O 0.0478 0.6713 0.8049 1
```

Record 6
# AgPPb2

Crystalline AgPPb2 at its relaxed geometry (PBE, Alexandria via LeMat-Bulk).

## Properties
For the formation energy, the calculation gives 0.766 eV per formula unit.

```
data_AgPPb2
_chemical_formula_sum 'Ag2 P2 Pb4'
_cell_length_a 8.7675
_cell_length_b 3.9789
_cell_length_c 6.1643
_cell_angle_alpha 90.00
_cell_angle_beta 107.65
_cell_angle_gamma 90.00
_symmetry_space_group_name_H-M 'C 1 m 1'
_symmetry_Int_Tables_number 8
_symmetry_space_group_name_Hall 'C -2y'
loop_
_atom_site_label
_atom_site_type_symbol
_atom_site_fract_x
_atom_site_fract_y
_atom_site_fract_z
_atom_site_occupancy
Ag1 Ag 0.0000 0.0000 0.0000 1
P1 P 0.2673 0.0000 0.8902 1
Pb1 Pb 0.0528 0.5000 0.6101 1
Pb2 Pb 0.2665 0.5000 0.2554 1
```

| no. | uncorrected energy (eV/cell) |
| --- | --- |
| 1 | -25.22 |
| 2 | -43.40 |
| 3 | -75.34 |
| 4 | -55.39 |
| 5 | -61.42 |
| 6 | -29.82 |